A plane-wave DFT calculation with GGA-PBE was carried out for a geometry-optimized YTa2Br structure.

Results
As for the energy relative to the elements, uncorrected: 0.596 eV/atom. The crystal system is tetragonal. The value obtained for the density of states at the Fermi level is 2.47 states/eV/f.u. The calculation puts the calculated volume at 20.96 A^3/atom. Its symmetry is P4/mmm, No. 123.

a = 3.0879 Å, b = 3.0879 Å, c = 8.7926 Å
α = 90.00°, β = 90.00°, γ = 90.00°
Closest atoms and distances in Å follow each position.
Positions (direct):
Br: 0.5000 0.5000 0.7500  8 Ta 2.88, 4 Br 3.09
Y: 0.5000 0.5000 0.2500  4 Y 3.09, 8 Ta 3.33
Ta: 0.0000 0.0000 0.9642  4 Br 2.88, 4 Ta 3.09
Ta: 0.0000 0.0000 0.5358  4 Br 2.88, 4 Ta 3.09